[1]
# Ca2PSe2 (PBE, relaxed)
data_Ca2PSe2
_cell_length_a 3.8834
_cell_length_b 3.8834
_cell_length_c 15.9756
_cell_angle_alpha 90.00
_cell_angle_beta 90.00
_cell_angle_gamma 90.00
_symmetry_space_group_name_H-M 'I 4/m m m'
_symmetry_Int_Tables_number 139
_symmetry_space_group_name_Hall '-I 4 2'
loop_
_atom_site_label
_atom_site_type_symbol
_atom_site_fract_x
_atom_site_fract_y
_atom_site_fract_z
Ca1 Ca 0.0000 0.0000 0.0998
P1 P 0.0000 0.0000 0.5000
Se1 Se 0.0000 0.5000 0.2500
# ΔE_f (raw) ... -899 meV per atom
# Magnetic moment ... 0.0 μB/f.u.
# Fermi-level density of states ... 3.98 states/eV per cell
# Excess energy over the best structure of this formula in the dataset ... 135 meV/atom
# Crystal system ... tetragonal
# Electronic total energy ... -4.17 eV per atom

[2]
# Pm7Cd2Ru2 (PBE, relaxed)
data_Pm7Cd2Ru2
_cell_length_a 3.8857
_cell_length_b 16.7640
_cell_length_c 9.7591
_cell_angle_alpha 90.00
_cell_angle_beta 90.00
_cell_angle_gamma 90.00
_symmetry_space_group_name_H-M 'I m m 2'
_symmetry_Int_Tables_number 44
_symmetry_space_group_name_Hall 'I 2 -2'
loop_
_atom_site_label
_atom_site_type_symbol
_atom_site_fract_x
_atom_site_fract_y
_atom_site_fract_z
Pm1 Pm 0.0000 0.0000 0.0000
Pm2 Pm 0.0000 0.1364 0.4260
Pm3 Pm 0.0000 0.3205 0.6234
Pm4 Pm 0.0000 0.3481 0.2653
Cd1 Cd 0.0000 0.0000 0.6661
Cd2 Cd 0.0000 0.5000 0.7751
Ru1 Ru 0.0000 0.2401 0.9322
# Magnetic moment ... 0.0 μB/f.u.
# Fermi-level density of states ... 25.65 states/eV per cell
# Excess energy over the best structure of this formula in the dataset ... 0 meV/atom
# Crystal system ... orthorhombic
# ΔH_f (0 K) ... -205 meV/atom
# Electronic total energy ... -5.08 eV per atom

[3]
# Er3Mg7 (PBE, relaxed)
data_Er3Mg7
_cell_length_a 15.9963
_cell_length_b 5.1323
_cell_length_c 6.4626
_cell_angle_alpha 90.00
_cell_angle_beta 108.19
_cell_angle_gamma 90.00
_symmetry_space_group_name_H-M 'C 1 2/m 1'
_symmetry_Int_Tables_number 12
_symmetry_space_group_name_Hall '-C 2y'
loop_
_atom_site_label
_atom_site_type_symbol
_atom_site_fract_x
_atom_site_fract_y
_atom_site_fract_z
Er1 Er 0.0000 0.0000 0.0000
Er2 Er 0.2055 0.0000 0.8007
Mg1 Mg 0.0000 0.0000 0.5000
Mg2 Mg 0.0931 0.5000 0.8695
Mg3 Mg 0.1056 0.5000 0.3835
Mg4 Mg 0.2002 0.0000 0.3062
# Magnetic moment ... 0.0 μB/f.u.
# Fermi-level density of states ... 13.89 states/eV per cell
# Crystal system ... monoclinic
# ΔH_f (0 K) ... -44 meV/atom
# Electronic total energy ... -2.53 eV per atom

[4]
# Na2YCd2 (PBE, relaxed)
data_Na2YCd2
_cell_length_a 8.7670
_cell_length_b 8.7670
_cell_length_c 3.3774
_cell_angle_alpha 90.00
_cell_angle_beta 90.00
_cell_angle_gamma 90.00
_symmetry_space_group_name_H-M 'P 4/m b m'
_symmetry_Int_Tables_number 127
_symmetry_space_group_name_Hall '-P 4 2ab'
loop_
_atom_site_label
_atom_site_type_symbol
_atom_site_fract_x
_atom_site_fract_y
_atom_site_fract_z
Na1 Na 0.1157 0.3843 0.0000
Y1 Y 0.0000 0.0000 0.0000
Cd1 Cd 0.1876 0.6876 0.5000
# Magnetic moment ... 0.0 μB/f.u.
# Fermi-level density of states ... 6.26 states/eV per cell
# Excess energy over the best structure of this formula in the dataset ... 0 meV/atom
# Crystal system ... tetragonal
# ΔH_f (0 K) ... 8 meV/atom
# Electronic total energy ... -2.18 eV per atom